TbScCdHg: optimized geometry, PBE.

Unit cell a=7.284 b=7.284 c=7.284 alpha=90.00 beta=90.00 gamma=90.00
Space group F-43m (No. 216)
Asymmetric unit:
Tb 0.000 0.000 0.000 (multiplicity 4)
Sc 0.000 0.000 0.500 (multiplicity 4)
Cd 0.250 0.250 0.250 (multiplicity 4)
Hg 0.250 0.250 0.750 (multiplicity 4)

Computed properties:
Formation enthalpy at 0 K in meV/atom: -369
Magnetic moment in Bohr magnetons per cell: 1.9
Uncorrected energy in eV per atom: -3.414
V in Å³/cell: 386.4


DyTm3Ru3: optimized geometry, PBE.

Unit cell a=9.4443 b=9.4443 c=5.7617 alpha=90.00 beta=90.00 gamma=120.00
Space group R3m (No. 160, hexagonal axes)
Asymmetric unit:
Dy 0.0000 0.0000 0.0000 (multiplicity 3)
Tm 0.0568 0.5284 0.1147 (multiplicity 9)
Ru 0.9997 0.4998 0.5872 (multiplicity 9)

Computed properties:
Formation enthalpy at 0 K in meV/atom: -424
Magnetic moment in Bohr magnetons per cell: 0.0
E above lowest polymorph in meV/atom: 0
Uncorrected energy in eV per atom: -6.973
V in Å³/cell: 445.1


AlBPd2O: optimized geometry, PBE.

Unit cell a=4.462 b=4.462 c=3.440 alpha=90.00 beta=90.00 gamma=90.00
Space group P4/mmm (No. 123)
Asymmetric unit:
Al 0.000 0.000 0.000 (multiplicity 1)
B 0.500 0.500 0.000 (multiplicity 1)
Pd 0.000 0.500 0.500 (multiplicity 2)
O 0.000 0.000 0.500 (multiplicity 1)

Computed properties:
Magnetic moment in Bohr magnetons per cell: 0.0
Uncorrected energy in eV per atom: -4.962
V in Å³/cell: 68.5


Li5Mg2Zn2Hg: optimized geometry, PBE.

Unit cell a=9.553 b=9.553 c=4.022 alpha=90.00 beta=90.00 gamma=90.00
Space group P4/mbm (No. 127)
Asymmetric unit:
Li 0.000 0.500 0.000 (multiplicity 2)
Li 0.071 0.200 0.000 (multiplicity 8)
Mg 0.175 0.675 0.500 (multiplicity 4)
Zn 0.120 0.380 0.500 (multiplicity 4)
Hg 0.000 0.000 0.500 (multiplicity 2)

Computed properties:
Formation enthalpy at 0 K in meV/atom: -136
Magnetic moment in Bohr magnetons per cell: 0.0
Uncorrected energy in eV per atom: -1.697
V in Å³/cell: 367.0


AcCe3Y2Te6: optimized geometry, PBE.

Unit cell a=7.749 b=13.444 c=7.837 alpha=90.00 beta=109.38 gamma=90.00
Space group C2/m (No. 12)
Asymmetric unit:
Ac 0.000 0.000 0.000 (multiplicity 2)
Ce 0.000 0.157 0.500 (multiplicity 4)
Ce 0.000 0.500 0.500 (multiplicity 2)
Y 0.000 0.331 0.000 (multiplicity 4)
Te 0.229 0.500 0.240 (multiplicity 4)
Te 0.241 0.326 0.749 (multiplicity 8)

Computed properties:
Magnetic moment in Bohr magnetons per cell: 7.2
Uncorrected energy in eV per atom: -5.837
V in Å³/cell: 770.1


Li4Tl3Ag2: optimized geometry, PBE.

Unit cell a=5.005 b=5.298 c=7.742 alpha=78.91 beta=85.10 gamma=62.07
Space group P-1 (No. 2)
Asymmetric unit:
Li 0.162 0.267 0.159 (multiplicity 2)
Li 0.322 0.852 0.512 (multiplicity 2)
Tl 0.000 0.500 0.500 (multiplicity 1)
Tl 0.486 0.617 0.183 (multiplicity 2)
Ag 0.186 0.031 0.841 (multiplicity 2)

Computed properties:
Formation enthalpy at 0 K in meV/atom: -158
Magnetic moment in Bohr magnetons per cell: 0.0
E above lowest polymorph in meV/atom: 7
Uncorrected energy in eV per atom: -2.431
V in Å³/cell: 178.0


What is the magnetic moment in the fourth record?
0.0 Bohr magnetons per cell